Density functional theory data (GGA-PBE) for a geometry-optimized LuHPd structure.

Cell lengths 3.677, 3.677, 6.466 Å; angles 90.01, 90.01, 90.00 degrees
Fractional coordinates of all 6 atoms:
H 0.613 0.387 0.500
H 0.613 0.387 0.000
Lu 0.113 0.387 0.325
Lu 0.613 0.887 0.675
Pd 0.613 0.887 0.126
Pd 0.113 0.387 0.874

Summary:
**Spin magnetization**: 0.000 Bohr magnetons per cell
**Space-group type**: No. 115
**Total DFT energy (no corrections)**: -4.97 eV per atom

Density functional theory data (GGA-PBE) for a geometry-optimized Ga2As2W structure.

Cell lengths 6.564, 6.564, 4.305 Å; angles 90.00, 90.00, 90.00 degrees
Fractional coordinates of all 10 atoms:
As 0.358 0.858 0.000
As 0.642 0.142 0.000
As 0.142 0.358 0.000
As 0.858 0.642 0.000
Ga 0.331 0.169 0.500
Ga 0.169 0.669 0.500
Ga 0.831 0.331 0.500
Ga 0.669 0.831 0.500
W 0.000 0.000 0.000
W 0.500 0.500 0.000

Summary:
**Spin magnetization**: 0.000 Bohr magnetons per cell
**Space-group type**: No. 127
**Formation enthalpy at 0 K**: 0.3607 eV/atom

Density functional theory data (GGA-PBE) for a geometry-optimized LiDyPuHg structure.

Cell lengths 5.252, 5.252, 5.252 Å; angles 60.00, 60.00, 60.00 degrees
Fractional coordinates of all 4 atoms:
Hg 0.500 0.500 0.500
Dy 0.250 0.250 0.250
Li 0.000 0.000 0.000
Pu 0.750 0.750 0.750

Summary:
**Spin magnetization**: 6.426 Bohr magnetons per cell
**Space-group type**: No. 216
**Formation enthalpy at 0 K**: 0.0107 eV/atom

Density functional theory data (GGA-PBE) for a geometry-optimized CaZrGe2 structure.

Cell lengths 3.997, 3.997, 7.293 Å; angles 74.09, 74.09, 60.00 degrees
Fractional coordinates of all 4 atoms:
Ge 0.739 0.739 0.783
Ge 0.261 0.261 0.217
Ca 0.500 0.500 0.500
Zr 0.000 0.000 0.000

Summary:
**Spin magnetization**: 0.000 Bohr magnetons per cell
**Space-group type**: No. 166
**Formation enthalpy at 0 K**: -0.4597 eV/atom

Density functional theory data (GGA-PBE) for a geometry-optimized Sr12TlAg6 structure.

Cell lengths 9.775, 9.775, 9.775 Å; angles 109.47, 109.47, 109.47 degrees
Fractional coordinates of all 19 atoms:
Ag 0.500 0.125 0.625
Ag 0.375 0.500 0.875
Ag 0.875 0.375 0.500
Ag 0.625 0.500 0.125
Ag 0.500 0.875 0.375
Ag 0.125 0.625 0.500
Sr 0.818 0.705 0.524
Sr 0.295 0.476 0.182
Sr 0.113 0.818 0.295
Sr 0.705 0.524 0.818
Sr 0.295 0.113 0.818
Sr 0.182 0.705 0.887
Sr 0.705 0.887 0.182
Sr 0.182 0.295 0.476
Sr 0.524 0.818 0.705
Sr 0.476 0.182 0.295
Sr 0.887 0.182 0.705
Sr 0.818 0.295 0.113
Tl 0.000 0.000 0.000

Summary:
**Spin magnetization**: 0.000 Bohr magnetons per cell
**Space-group type**: No. 204
**Formation enthalpy at 0 K**: -0.2222 eV/atom

Density functional theory data (GGA-PBE) for a geometry-optimized GaTcP2O structure.

Cell lengths 4.802, 4.802, 3.703 Å; angles 90.00, 90.00, 90.00 degrees
Fractional coordinates of all 5 atoms:
Tc 0.000 0.000 0.000
O 0.000 0.000 0.500
Ga 0.500 0.500 0.500
P 0.000 0.500 0.000
P 0.500 0.000 0.000

Summary:
**Spin magnetization**: 0.000 Bohr magnetons per cell
**Space-group type**: No. 123
**Formation energy from raw total energies**: -0.09 eV per atom

Density functional theory data (GGA-PBE) for a geometry-optimized Tb2NdScBi4 structure.

Cell lengths 4.477, 7.741, 7.752 Å; angles 109.49, 90.00, 90.00 degrees
Fractional coordinates of all 8 atoms:
Tb 0.000 0.500 0.500
Tb 0.500 0.000 0.500
Sc 0.500 0.500 0.000
Bi 0.500 0.740 0.750
Bi 0.000 0.737 0.243
Bi 0.000 0.263 0.757
Bi 0.500 0.260 0.250
Nd 0.000 0.000 0.000

Summary:
**Spin magnetization**: 0.000 Bohr magnetons per cell
**Space-group type**: No. 10
**Formation enthalpy at 0 K**: -0.8200 eV/atom

Density functional theory data (GGA-PBE) for a geometry-optimized FeOsRh2 structure.

Cell lengths 2.710, 2.710, 7.514 Å; angles 90.00, 90.00, 90.00 degrees
Fractional coordinates of all 4 atoms:
Fe 0.500 0.500 0.250
Rh 0.000 0.000 0.498
Rh 0.000 0.000 0.002
Os 0.500 0.500 0.750

Summary:
**Spin magnetization**: 3.130 Bohr magnetons per cell
**Space-group type**: No. 123
**Formation enthalpy at 0 K**: 0.0264 eV/atom